Compound: Li7Mn2Co3O12
Source: Alexandria via LeMat-Bulk
Functional: PBE with a Hubbard U
Structure: optimized geometry

## Properties
- SG: No. 8
- Calculated total energy: -139.99 eV per formula unit
- Magnetization: 8.0 μB/cell
- Energy above the lowest structure with this stoichiometry: 149 kJ/mol of formula units

a b c (Å): 7.7827 7.7827 9.8039
angles (deg): 99.98 99.98 21.62
Last column: nearest neighbours and their distance in Å.
Element x y z (fractional)
Li1 0.0000 0.0000 0.0000  3 O 1.96-2.12
Li2 0.1775 0.1775 0.5442  3 O 1.96-2.11
Li3 0.3277 0.3277 0.9885  4 O 2.02-2.19
Li4 0.5018 0.5018 0.5285  5 O 2.00-2.18
Li5 0.6655 0.6655 0.9993  4 O 1.98-2.21
Li6 0.7486 0.7486 0.7703  6 O 2.06-2.16
Li7 0.8330 0.8330 0.5302  3 O 1.95-2.11
Mn1 0.2448 0.2448 0.2657  6 O 1.88-2.01
Mn2 0.9136 0.9136 0.2613  6 O 1.88-2.00
Co1 0.0865 0.0865 0.7664  6 O 1.83-1.95
Co2 0.4067 0.4067 0.7603  3 O 1.81-2.00
Co3 0.5803 0.5803 0.2685  6 O 2.04-2.17
O1 0.0264 0.0264 0.3741  1 Mn 1.88, 2 Co 2.04
O2 0.1304 0.1304 0.1574  1 Mn 1.88, 2 Co 2.05
O3 0.1953 0.1953 0.8793  1 Co 1.83, 2 Li 1.98
O4 0.3008 0.3008 0.6439  1 Co 1.81, 3 Li 1.95-1.96
O5 0.3708 0.3708 0.3687  3 Mn 1.98-2.01
O6 0.4465 0.4465 0.1503  2 Mn 1.94, 1 Co 2.17
O7 0.5445 0.5445 0.8706  2 Co 1.95, 3 Li 2.05-2.12
O8 0.6195 0.6195 0.6556  2 Co 1.94, 4 Li 2.00-2.11
O9 0.7138 0.7138 0.3833  2 Mn 1.97, 1 Li 2.11, 1 Co 2.15
O10 0.7889 0.7889 0.1558  3 Mn 2.00, 1 Li 2.21
O11 0.8807 0.8807 0.8860  4 Li 1.96-2.13, 2 Co 2.00
O12 0.9664 0.9664 0.6577  3 Co 1.95-2.07, 2 Li 2.07